Entry i
DFT (PBE) results for a geometry-optimized ZrFeNiBi structure.

Unit cell a=4.5727 b=4.5727 c=4.5727 alpha=60.00 beta=60.00 gamma=60.00
Closest atoms and distances in Å follow each position.
Sites, in units of the cell vectors:
Bi  0.0000  0.0000  0.0000  4 Ni 2.80, 4 Fe 2.80
Ni  0.2500  0.2500  0.2500  4 Bi 2.80, 4 Zr 2.80
Fe  0.7500  0.7500  0.7500  4 Bi 2.80, 4 Zr 2.80
Zr  0.5000  0.5000  0.5000  4 Ni 2.80, 4 Fe 2.80

Space group: F-43m (216)
Size of the total moment in μB per formula unit: 1.68
Crystal system: cubic

Entry ii
DFT (PBE) results for a geometry-optimized ZrFeNiBi structure.

Unit cell a=4.6443 b=4.6443 c=4.6443 alpha=60.00 beta=60.00 gamma=60.00
Closest atoms and distances in Å follow each position.
Sites, in units of the cell vectors:
Ni  0.5000  0.5000  0.5000  4 Fe 2.84, 4 Zr 2.84
Bi  0.0000  0.0000  0.0000  4 Fe 2.84, 4 Zr 2.84
Fe  0.7500  0.7500  0.7500  4 Ni 2.84, 4 Bi 2.84
Zr  0.2500  0.2500  0.2500  4 Ni 2.84, 4 Bi 2.84

Space group: F-43m (216)
Size of the total moment in μB per formula unit: 2.24
Crystal system: cubic

Name the least stable of them. entry ii.